FeSe5 after structural relaxation. Source: the Alexandria database, functional PBE.

a = 9.997 Å, b = 9.997 Å, c = 2.578 Å
α = 90.00°, β = 90.00°, γ = 120.00°
Fractional coordinates of all 6 atoms:
Fe1 0.000 0.000 0.000
Se1 0.000 0.795 0.500
Se2 0.205 0.205 0.500
Se3 0.333 0.667 0.000
Se4 0.667 0.333 0.000
Se5 0.795 0.000 0.500

Properties
The space-group type is P-62m. The value obtained for the formation energy without anion corrections is 0.2754 eV per atom. For the total energy, the calculation gives -4.039 eV/atom.

Fe4Se after structural relaxation. Source: the Alexandria database, functional PBE.

a = 4.328 Å, b = 4.328 Å, c = 4.328 Å
α = 90.00°, β = 90.00°, γ = 90.00°
Fractional coordinates of all 5 atoms:
Fe1 0.000 0.000 0.000
Fe2 0.000 0.500 0.500
Fe3 0.500 0.000 0.500
Fe4 0.500 0.500 0.000
Se1 0.500 0.500 0.500

Properties
The space-group type is Pm-3m. The value obtained for the formation energy without anion corrections is 0.8644 eV per atom. For the total energy, the calculation gives -6.603 eV/atom.

FeSe8 after structural relaxation. Source: the Alexandria database, functional PBE.

a = 8.443 Å, b = 8.443 Å, c = 8.443 Å
α = 92.85°, β = 92.85°, γ = 154.25°
Fractional coordinates of all 9 atoms:
Fe1 0.000 0.000 0.000
Se1 0.000 0.200 0.200
Se2 0.000 0.800 0.800
Se3 0.200 0.000 0.200
Se4 0.318 0.318 0.636
Se5 0.318 0.682 0.000
Se6 0.682 0.318 0.000
Se7 0.682 0.682 0.364
Se8 0.800 0.000 0.800

Properties
The space-group type is I4/mmm. The value obtained for the formation energy without anion corrections is 0.2287 eV per atom. For the total energy, the calculation gives -3.809 eV/atom.

Fe3Se5 after structural relaxation. Source: the Alexandria database, functional PBE.

a = 7.608 Å, b = 7.608 Å, c = 5.138 Å
α = 90.00°, β = 90.00°, γ = 120.00°
Fractional coordinates of all 16 atoms:
Fe1 0.000 0.396 0.250
Fe2 0.000 0.604 0.750
Fe3 0.396 0.000 0.250
Fe4 0.396 0.396 0.750
Fe5 0.604 0.000 0.750
Fe6 0.604 0.604 0.250
Se1 0.000 0.274 0.750
Se2 0.000 0.726 0.250
Se3 0.274 0.000 0.750
Se4 0.274 0.274 0.250
Se5 0.333 0.667 0.000
Se6 0.333 0.667 0.500
Se7 0.667 0.333 0.000
Se8 0.667 0.333 0.500
Se9 0.726 0.000 0.250
Se10 0.726 0.726 0.750

Properties
The space-group type is P6_3/mcm. The value obtained for the formation energy without anion corrections is 0.3483 eV per atom. The value obtained for the energy above the lowest structure with this stoichiometry is 9.43 kJ/mol of atoms. For the total energy, the calculation gives -5.003 eV/atom.

Fe2Se3 after structural relaxation. Source: the Alexandria database, functional PBE.

a = 3.369 Å, b = 3.369 Å, c = 28.565 Å
α = 90.00°, β = 90.00°, γ = 120.00°
Fractional coordinates of all 15 atoms:
Fe1 0.000 0.000 0.107
Fe2 0.000 0.000 0.893
Fe3 0.333 0.667 0.560
Fe4 0.333 0.667 0.773
Fe5 0.667 0.333 0.227
Fe6 0.667 0.333 0.440
Se1 0.000 0.000 0.275
Se2 0.000 0.000 0.500
Se3 0.000 0.000 0.725
Se4 0.333 0.667 0.167
Se5 0.333 0.667 0.392
Se6 0.333 0.667 0.941
Se7 0.667 0.333 0.059
Se8 0.667 0.333 0.608
Se9 0.667 0.333 0.833

Properties
The space-group type is R-3m. The value obtained for the formation energy without anion corrections is -0.1041 eV per atom. For the total energy, the calculation gives -5.580 eV/atom.

FeSe5 after structural relaxation. Source: the Alexandria database, functional PBE.

a = 3.606 Å, b = 14.195 Å, c = 5.453 Å
α = 90.00°, β = 90.00°, γ = 90.00°
Fractional coordinates of all 12 atoms:
Fe1 0.000 0.000 0.000
Fe2 0.500 0.500 0.000
Se1 0.000 0.000 0.500
Se2 0.000 0.364 0.500
Se3 0.000 0.382 0.000
Se4 0.000 0.618 0.000
Se5 0.000 0.636 0.500
Se6 0.500 0.118 0.000
Se7 0.500 0.136 0.500
Se8 0.500 0.500 0.500
Se9 0.500 0.864 0.500
Se10 0.500 0.882 0.000

Properties
The space-group type is Cmmm. The value obtained for the formation energy without anion corrections is 0.0015 eV per atom. For the total energy, the calculation gives -4.313 eV/atom.